Run 1
A relaxed AgC3 crystal, computed with PBEsol.

Geometry as POSCAR:
```
AgC3
1.0
-0.651 -2.554 1.012
1.559 -1.200 -2.025
3.846 0.156 2.867
C Ag
3 1
Direct
0.500 0.500 0.357
0.000 0.000 0.500
0.500 0.500 0.643
0.000 0.000 0.000
```

Output
Symmetry: No. 123
Calculated volume: 38 Å³ per cell

***

Run 2
A relaxed AgC3 crystal, computed with PBEsol.

Geometry as POSCAR:
```
AgC3
1.0
4.112 0.000 0.000
0.000 4.112 0.000
0.000 0.000 4.112
C Ag
3 1
Direct
0.500 0.000 0.000
0.000 0.500 0.000
0.000 0.000 0.500
0.000 0.000 0.000
```

Output
Symmetry: No. 221
Calculated volume: 70 Å³ per cell

***

Q: Which of them is the least stable? A: run 2.

***

Run 1
A relaxed ReMoIr2 crystal, computed with PBEsol.

Geometry as POSCAR:
```
ReMoIr2
1.0
4.364 0.000 0.000
2.182 3.779 0.000
2.182 1.260 3.563
Ir Mo Re
2 1 1
Direct
0.000 0.000 0.000
0.750 0.750 0.750
0.500 0.500 0.500
0.250 0.250 0.250
```

Output
Symmetry: No. 216
Calculated volume: 59 Å³ per cell

***

Run 2
A relaxed ReMoIr2 crystal, computed with PBEsol.

Geometry as POSCAR:
```
ReMoIr2
1.0
2.729 0.000 0.000
0.000 4.382 0.000
0.000 0.000 4.785
Re Mo Ir
1 1 2
Direct
0.500 0.500 0.206
0.500 0.000 0.542
0.000 0.000 0.047
0.000 0.500 0.705
```

Output
Symmetry: No. 25
Calculated volume: 57 Å³ per cell

***

Q: Which of them is the least stable? A: run 1.

***

Run 1
A relaxed Li2Ca crystal, computed with PBEsol.

Geometry as POSCAR:
```
Li2Ca
1.0
5.459 0.000 0.000
-2.730 4.728 0.000
0.000 0.000 6.437
Ca Li
2 4
Direct
0.667 0.333 0.750
0.333 0.667 0.250
0.000 0.000 0.000
0.000 0.000 0.500
0.667 0.333 0.250
0.333 0.667 0.750
```

Output
Symmetry: No. 194
Calculated volume: 166 Å³ per cell

***

Run 2
A relaxed Li2Ca crystal, computed with PBEsol.

Geometry as POSCAR:
```
Li2Ca
1.0
-2.821 -1.126 2.475
1.964 -5.006 -0.040
6.023 2.324 4.821
Ca Li
2 4
Direct
0.085 0.250 0.170
0.915 0.750 0.830
0.404 0.250 0.808
0.596 0.750 0.192
0.763 0.250 0.526
0.237 0.750 0.474
```

Output
Symmetry: No. 63
Calculated volume: 165 Å³ per cell

***

Q: Which of them is the least stable? A: run 1.

***

Run 1
A relaxed CrTcW2 crystal, computed with PBEsol.

Geometry as POSCAR:
```
CrTcW2
1.0
-0.319 1.696 2.036
0.495 -2.447 0.946
8.346 1.659 -0.073
Cr Tc W
1 1 2
Direct
0.000 0.000 0.495
0.500 0.500 0.264
0.000 0.000 0.004
0.500 0.500 0.737
```

Output
Symmetry: No. 35
Calculated volume: 57 Å³ per cell

***

Run 2
A relaxed CrTcW2 crystal, computed with PBEsol.

Geometry as POSCAR:
```
CrTcW2
1.0
-0.762 -1.503 -2.549
3.146 -2.921 0.781
-3.956 -0.168 3.114
Cr Tc W
1 1 2
Direct
0.500 0.000 0.000
0.000 0.500 0.000
0.755 0.755 0.510
0.245 0.245 0.490
```

Output
Symmetry: No. 71
Calculated volume: 57 Å³ per cell

***

Q: Which of them is the least stable? A: run 1.

***

Run 1
A relaxed YAgIr2 crystal, computed with PBEsol.

Geometry as POSCAR:
```
YAgIr2
1.0
2.986 0.000 0.000
0.000 4.880 -0.027
-1.493 -2.386 4.684
Ag Ir Y
1 2 1
Direct
0.737 0.177 0.474
0.986 0.064 0.972
0.268 0.689 0.537
0.509 0.570 0.017
```

Output
Symmetry: No. 8
Calculated volume: 68 Å³ per cell

***

Run 2
A relaxed YAgIr2 crystal, computed with PBEsol.

Geometry as POSCAR:
```
YAgIr2
1.0
3.119 0.000 0.000
0.000 4.761 0.000
-1.560 -2.381 4.596
Ag Ir Y
1 2 1
Direct
0.500 0.000 0.000
0.751 0.751 0.502
0.249 0.249 0.498
0.000 0.500 0.000
```

Output
Symmetry: No. 71
Calculated volume: 68 Å³ per cell

***

Q: Which of them is the least stable? A: run 2.

***

Run 1
A relaxed OsAu2Cl crystal, computed with PBEsol.

Geometry as POSCAR:
```
OsAu2Cl
1.0
2.892 0.000 0.022
0.000 2.950 0.000
-0.070 0.000 8.017
Os Au Cl
1 2 1
Direct
0.000 0.500 0.500
0.501 0.000 0.729
0.499 0.000 0.271
0.500 0.500 0.000
```

Output
Symmetry: No. 10
Calculated volume: 68 Å³ per cell

***

Run 2
A relaxed OsAu2Cl crystal, computed with PBEsol.

Geometry as POSCAR:
```
OsAu2Cl
1.0
2.952 0.000 0.000
1.476 2.557 0.000
1.476 0.852 8.644
Os Au Cl
1 2 1
Direct
0.000 0.000 0.000
0.251 0.251 0.247
0.749 0.749 0.753
0.500 0.500 0.500
```

Output
Symmetry: No. 166
Calculated volume: 65 Å³ per cell

***

Q: Which of them is the least stable? A: run 1.

***

Run 1
A relaxed LiIrRh2 crystal, computed with PBEsol.

Geometry as POSCAR:
```
LiIrRh2
1.0
2.627 0.000 0.000
0.000 4.630 -0.010
0.000 -1.598 4.346
Ir Rh Li
1 2 1
Direct
0.500 0.000 0.000
0.000 0.500 0.000
0.000 0.000 0.500
0.500 0.500 0.500
```

Output
Symmetry: No. 65
Calculated volume: 53 Å³ per cell

***

Run 2
A relaxed LiIrRh2 crystal, computed with PBEsol.

Geometry as POSCAR:
```
LiIrRh2
1.0
2.612 0.000 0.000
0.000 4.653 0.003
0.000 -1.721 4.342
Ir Rh Li
1 2 1
Direct
0.500 0.500 0.000
0.000 0.000 0.000
0.500 0.000 0.500
0.000 0.500 0.500
```

Output
Symmetry: No. 10
Calculated volume: 53 Å³ per cell

***

Q: Which of them is the least stable? A: run 2.

***

Run 1
A relaxed ReAgHg2 crystal, computed with PBEsol.

Geometry as POSCAR:
```
ReAgHg2
1.0
2.807 0.000 0.000
0.000 4.931 0.000
0.000 0.000 5.234
Re Hg Ag
1 2 1
Direct
0.500 0.500 0.000
0.000 0.000 0.000
0.500 0.000 0.500
0.000 0.500 0.500
```

Output
Symmetry: No. 47
Calculated volume: 72 Å³ per cell

***

Run 2
A relaxed ReAgHg2 crystal, computed with PBEsol.

Geometry as POSCAR:
```
ReAgHg2
1.0
2.807 0.000 0.000
0.000 2.807 0.000
0.000 0.000 9.105
Re Hg Ag
1 2 1
Direct
0.000 0.000 0.510
0.000 0.000 0.986
0.500 0.500 0.270
0.500 0.500 0.734
```

Output
Symmetry: No. 99
Calculated volume: 72 Å³ per cell

***

Q: Which of them is the least stable? A: run 1.

***

Run 1
A relaxed MnCrAs2 crystal, computed with PBEsol.

Geometry as POSCAR:
```
MnCrAs2
1.0
4.266 0.000 0.000
2.133 3.694 0.000
2.133 1.231 3.483
As Cr Mn
2 1 1
Direct
0.000 0.000 0.000
0.250 0.250 0.250
0.500 0.500 0.500
0.750 0.750 0.750
```

Output
Symmetry: No. 216
Calculated volume: 55 Å³ per cell

***

Run 2
A relaxed MnCrAs2 crystal, computed with PBEsol.

Geometry as POSCAR:
```
MnCrAs2
1.0
6.763 0.000 0.000
0.000 6.763 0.000
-3.381 -3.381 2.837
Cr As Mn
2 4 2
Direct
0.750 0.250 0.500
0.500 0.500 0.000
0.371 0.875 0.250
0.879 0.375 0.250
0.125 0.121 0.750
0.625 0.629 0.750
0.250 0.750 0.500
0.000 0.000 0.000
```

Output
Symmetry: No. 122
Calculated volume: 130 Å³ per cell

***

Q: Which of them is the least stable? A: run 1.

***

Run 1
A relaxed Ba2LiCl crystal, computed with PBEsol.

Geometry as POSCAR:
```
Ba2LiCl
1.0
-2.629 1.135 5.156
-2.432 -4.389 3.100
2.493 -1.787 5.038
Ba Cl Li
2 1 1
Direct
0.250 0.250 0.250
0.750 0.750 0.750
0.000 0.000 0.000
0.500 0.500 0.500
```

Output
Symmetry: No. 225
Calculated volume: 145 Å³ per cell

***

Run 2
A relaxed Ba2LiCl crystal, computed with PBEsol.

Geometry as POSCAR:
```
Ba2LiCl
1.0
7.747 0.067 0.109
-2.813 7.218 -0.109
-2.813 -3.408 6.364
Li Ba Cl
2 4 2
Direct
0.000 0.500 0.500
0.500 0.250 0.750
0.046 0.671 0.125
0.954 0.079 0.625
0.454 0.375 0.329
0.546 0.875 0.921
0.000 0.000 0.000
0.500 0.750 0.250
```

Output
Symmetry: No. 122
Calculated volume: 357 Å³ per cell

***

Q: Which of them is the least stable? A: run 1.